DFT (PBE) results for a relaxed Ca2PCl crystal.

Lattice parameters (Å, degrees): 6.246 6.246 8.122 67.39 67.39 90.00
Sites, in units of the cell vectors:
1 Cl 0.750 0.250 0.500
2 P 0.500 0.500 0.000
3 Ca 0.602 0.125 0.250
4 Ca 0.375 0.398 0.750
5 Ca 0.875 0.852 0.750
6 P 0.250 0.750 0.500
7 Cl 0.000 0.000 0.000
8 Ca 0.148 0.625 0.250

Results
ΔE_f (raw) (eV per atom): -1.395
Mass density (Mg/m³): 1.8
Total DFT energy (no corrections) (eV/atom): -4.21